A geometry-optimized PrSmIn2 structure, computed with PBE.

abc: 5.4680 5.4680 5.4680
angles: 60.00 60.00 60.00
Last column: nearest neighbours and their distance in Å.
Fractional positions:
Pr: 0.0000 0.0000 0.0000  8 In 3.35
Sm: 0.5000 0.5000 0.5000  8 In 3.35
In: 0.2500 0.2500 0.2500  4 Pr 3.35, 4 Sm 3.35
In: 0.7500 0.7500 0.7500  4 Pr 3.35, 4 Sm 3.35

Output
Its total moment is 0.0 μB/f.u. The total energy is -4.235 eV per atom. Its crystal system is cubic. The value obtained for the formation energy is -0.49 eV/atom. The space group is Fm-3m (225).